No. 1
Computed, not measured: a geometry-optimized Dy2SnAu structure at the PBE level of DFT.

- Energy of formation: -0.73 eV/atom
- DOS at the Fermi energy: 0.5834 states/eV/atom
- Total moment: 0.0 μB/f.u.

a = 3.5521 Å, b = 3.5521 Å, c = 7.8780 Å
α = 90.00°, β = 90.00°, γ = 90.00°
Last column: nearest neighbours and their distance in Å.
Space group P4/mmm (No. 123)
One atom of each set of equivalent atoms:
Dy  0.0000  0.0000  0.2339 [2 per cell]  4 Au 3.12, 4 Sn 3.27
Sn  0.5000  0.5000  0.5000 [1 per cell]  8 Dy 3.27, 4 Sn 3.55
Au  0.5000  0.5000  0.0000 [1 per cell]  8 Dy 3.12

No. 2
Computed, not measured: a geometry-optimized LiHfNp2P4 structure at the PBE level of DFT.

- Energy of formation: -0.84 eV/atom
- DOS at the Fermi energy: 1.7898 states/eV/atom
- Total moment: 6.6 μB/f.u.

a = 6.5066 Å, b = 3.8595 Å, c = 6.7516 Å
α = 90.00°, β = 109.86°, γ = 90.00°
Last column: nearest neighbours and their distance in Å.
Space group P2/m (No. 10)
One atom of each set of equivalent atoms:
Li  0.0000  0.0000  0.0000 [1 per cell]  6 P 2.69-2.71
Hf  0.0000  0.5000  0.5000 [1 per cell]  6 P 2.65-2.66
Np  0.5000  0.0000  0.5000 [1 per cell]  6 P 2.71-2.73
Np  0.5000  0.5000  0.0000 [1 per cell]  6 P 2.77-2.78
P  0.2379  0.0000  0.7421 [2 per cell]  2 Hf 2.66, 1 Li 2.69, 3 Np 2.73-2.77
P  0.2439  0.5000  0.2556 [2 per cell]  1 Hf 2.65, 3 Np 2.71-2.78, 2 Li 2.71

No. 3
Computed, not measured: a geometry-optimized Pr3Pu2Ru4 structure at the PBE level of DFT.

- Energy of formation: -0.25 eV/atom
- DOS at the Fermi energy: 1.2222 states/eV/atom
- Total moment: 7.7 μB/f.u.

a = 11.3206 Å, b = 4.2432 Å, c = 9.0389 Å
α = 90.00°, β = 102.27°, γ = 90.00°
Last column: nearest neighbours and their distance in Å.
Space group C2/m (No. 12)
One atom of each set of equivalent atoms:
Pr  0.0000  0.0000  0.0000 [2 per cell]  6 Ru 3.25-3.44
Pr  0.1245  0.5000  0.3852 [4 per cell]  6 Ru 3.07-3.30, 1 Pu 3.39
Pu  0.1727  0.5000  0.7838 [4 per cell]  5 Ru 2.57-2.73
Ru  0.0872  0.0000  0.6335 [4 per cell]  2 Pu 2.59, 1 Ru 2.77
Ru  0.2209  0.5000  0.0929 [4 per cell]  3 Pu 2.57-2.73, 2 Ru 2.87

No. 4
Computed, not measured: a geometry-optimized Cu4TeSBr2 structure at the PBE level of DFT.

- DOS at the Fermi energy: 0.7736 states/eV/atom
- Total moment: 0.0 μB/f.u.
- Uncorrected formation energy: -0.178 eV/atom

a = 7.4855 Å, b = 7.1416 Å, c = 6.7482 Å
α = 90.00°, β = 90.00°, γ = 90.00°
Last column: nearest neighbours and their distance in Å.
Space group Pmn2_1 (No. 31)
One atom of each set of equivalent atoms:
Cu  0.0000  0.1227  0.0000 [2 per cell]  1 S 2.22
Cu  0.0000  0.8408  0.4651 [2 per cell]  1 S 2.22
Cu  0.2193  0.6758  0.0070 [4 per cell]  1 S 2.20
Te  0.0000  0.1588  0.6299 [2 per cell]  4 Cu 2.51-2.55
S  0.0000  0.8407  0.1368 [2 per cell]  4 Cu 2.20-2.22
Br  0.2486  0.3413  0.1322 [4 per cell]  4 Cu 2.54-2.59

No. 5
Computed, not measured: a geometry-optimized ErTmZnPt structure at the PBE level of DFT.

- Energy of formation: -0.83 eV/atom
- DOS at the Fermi energy: 0.6730 states/eV/atom
- Total moment: 0.0 μB/f.u.

a = 6.9698 Å, b = 6.9698 Å, c = 6.9698 Å
α = 90.00°, β = 90.00°, γ = 90.00°
Last column: nearest neighbours and their distance in Å.
Space group F-43m (No. 216)
One atom of each set of equivalent atoms:
Er  0.0000  0.0000  0.0000 [4 per cell]  4 Pt 3.02, 4 Zn 3.02
Tm  0.0000  0.0000  0.5000 [4 per cell]  4 Zn 3.02, 4 Pt 3.02
Zn  0.2500  0.2500  0.7500 [4 per cell]  4 Er 3.02, 4 Tm 3.02
Pt  0.2500  0.2500  0.2500 [4 per cell]  4 Er 3.02, 4 Tm 3.02

No. 6
Computed, not measured: a geometry-optimized NbNi2Ir structure at the PBE level of DFT.

- Energy of formation: -0.39 eV/atom
- DOS at the Fermi energy: 0.3511 states/eV/atom
- Total moment: 0.0 μB/f.u.

a = 4.3061 Å, b = 5.3697 Å, c = 4.6642 Å
α = 90.00°, β = 90.00°, γ = 90.00°
Last column: nearest neighbours and their distance in Å.
Space group Pmmn (No. 59, origin choice 2)
One atom of each set of equivalent atoms:
Nb  0.2500  0.2500  0.1590 [2 per cell]  8 Ni 2.68-2.69, 4 Ir 2.69
Ni  0.2500  0.0007  0.6577 [4 per cell]  4 Ir 2.58-2.80, 4 Ni 2.61-2.69, 4 Nb 2.68-2.69
Ir  0.2500  0.7500  0.1852 [2 per cell]  8 Ni 2.58-2.80, 4 Nb 2.69

No. 7
Computed, not measured: a geometry-optimized Pm3HoHg6 structure at the PBE level of DFT.

- Energy of formation: -0.43 eV/atom
- DOS at the Fermi energy: 0.7986 states/eV/atom
- Total moment: 0.0 μB/f.u.

a = 9.3673 Å, b = 5.1990 Å, c = 11.2379 Å
α = 90.00°, β = 106.25°, γ = 90.00°
Last column: nearest neighbours and their distance in Å.
Space group P2_1/m (No. 11)
One atom of each set of equivalent atoms:
Pm  0.0119  0.2500  0.3861 [2 per cell]  5 Hg 3.08-3.41
Pm  0.1472  0.7500  0.2106 [2 per cell]  8 Hg 3.13-3.34
Pm  0.2733  0.2500  0.9916 [2 per cell]  8 Hg 3.14-3.47
Ho  0.4404  0.2500  0.6048 [2 per cell]  8 Hg 3.06-3.27
Hg  0.0356  0.7500  0.9138 [2 per cell]  7 Pm 3.20-3.37, 3 Hg 3.42-3.52
Hg  0.1638  0.2500  0.6999 [2 per cell]  1 Ho 3.07, 5 Pm 3.08-3.41, 2 Hg 3.21
Hg  0.2671  0.7500  0.5001 [2 per cell]  3 Ho 3.12-3.27, 2 Pm 3.13-3.22, 1 Hg 3.35
Hg  0.3496  0.2500  0.3121 [2 per cell]  3 Ho 3.16-3.24, 4 Pm 3.23-3.49, 1 Hg 3.40
Hg  0.3570  0.7500  0.8105 [2 per cell]  8 Hg 3.19-3.52, 4 Pm 3.52-3.55
Hg  0.4398  0.7500  0.1128 [2 per cell]  1 Ho 3.06, 4 Pm 3.14-3.23, 3 Hg 3.19-3.27